[1]
Entry from OQMD: crystalline Dy3HoEr2Bi2Os at its relaxed geometry (PBE).

CIF file:
```
data_Dy3HoEr2Bi2Os
_cell_length_a 4.2368
_cell_length_b 14.3098
_cell_length_c 8.2620
_cell_angle_alpha 90.00
_cell_angle_beta 90.00
_cell_angle_gamma 90.00
_space_group_name_H-M_alt 'A m m 2'
_space_group_IT_number 38
_space_group_name_Hall 'A 2 -2'
loop_
_atom_site_label
_atom_site_fract_x
_atom_site_fract_y
_atom_site_fract_z
Dy1 0.0000 0.0000 0.0000
Dy2 0.0000 0.1935 0.5799
Ho1 0.5000 0.0000 0.6194
Er1 0.5000 0.1163 0.2703
Bi1 0.5000 0.1669 0.8868
Os1 0.0000 0.0000 0.3856
```

final energy	-103.76	eV for the cell shown

---

[2]
Entry from OQMD: crystalline GdDy2Tm at its relaxed geometry (PBE).

CIF file:
```
data_GdDy2Tm
_cell_length_a 5.6217
_cell_length_b 12.4573
_cell_length_c 7.1940
_cell_angle_alpha 90.00
_cell_angle_beta 90.00
_cell_angle_gamma 90.00
_space_group_name_H-M_alt 'A m a 2'
_space_group_IT_number 40
_space_group_name_Hall 'A 2 -2a'
loop_
_atom_site_label
_atom_site_fract_x
_atom_site_fract_y
_atom_site_fract_z
Gd1 0.2500 0.1666 0.0000
Dy1 0.2500 0.1658 0.4998
Dy2 0.2500 0.4171 0.7511
Tm1 0.2500 0.4171 0.2487
```

formation energy	0.0	eV per formula unit

---

[3]
Entry from OQMD: crystalline CsDyMgS3 at its relaxed geometry (PBE).

CIF file:
```
data_CsDyMgS3
_cell_length_a 10.8008
_cell_length_b 4.1254
_cell_length_c 15.6086
_cell_angle_alpha 90.00
_cell_angle_beta 90.00
_cell_angle_gamma 90.00
_space_group_name_H-M_alt 'P n m a'
_space_group_IT_number 62
_space_group_name_Hall '-P 2ac 2n'
loop_
_atom_site_label
_atom_site_fract_x
_atom_site_fract_y
_atom_site_fract_z
Cs1 0.2477 0.2500 0.0110
Dy1 0.0068 0.7500 0.2503
Mg1 0.2431 0.7500 0.7875
S1 0.0485 0.7500 0.8619
S2 0.0622 0.2500 0.3620
S3 0.2433 0.2500 0.6999
```

final energy	-118.31	eV for the cell shown

---

Number 2 is which compound? GdDy2Tm